Arrangement w

# Na6CoO4 | Alexandria | SCAN | PBEsol geometry
data_Na6CoO4
_space_group_name_H-M_alt 'P 63 m c'
_space_group_IT_number 186
_space_group_name_Hall 'P 6c -2c'
_cell_length_a 7.5891
_cell_length_b 7.5891
_cell_length_c 5.8207
_cell_angle_alpha 90.00
_cell_angle_beta 90.00
_cell_angle_gamma 120.00
loop_
_atom_site_label
_atom_site_type_symbol
_atom_site_fract_x
_atom_site_fract_y
_atom_site_fract_z
Na1 Na 0.0742 0.5371 0.0000
Na2 Na 0.1402 0.2804 0.6684
Co1 Co 0.3333 0.6667 0.3932
O1 O 0.1929 0.3859 0.2809
O2 O 0.3333 0.6667 0.7247
# Total magnetization   0.273 μB per atom

Arrangement x

# Na6CoO4 | Alexandria | SCAN | PBEsol geometry
data_Na6CoO4
_space_group_name_H-M_alt 'P 42/n m c'
_space_group_IT_number 137
_cell_length_a 7.3794
_cell_length_b 7.3794
_cell_length_c 5.3912
_cell_angle_alpha 90.00
_cell_angle_beta 90.00
_cell_angle_gamma 90.00
loop_
_space_group_symop_operation_xyz
'x,y,z'
'-x,-y,-z'
'-y+1/2,x,z+1/2'
'y+1/2,-x,-z+1/2'
'-x+1/2,-y+1/2,z'
'x+1/2,y+1/2,-z'
'y,-x+1/2,z+1/2'
'-y,x+1/2,-z+1/2'
'x+1/2,-y,-z'
'-x+1/2,y,z'
'-y,-x,-z+1/2'
'y,x,z+1/2'
'-x,y+1/2,-z'
'x,-y+1/2,z'
'y+1/2,x+1/2,-z+1/2'
'-y+1/2,-x+1/2,z+1/2'
loop_
_atom_site_label
_atom_site_type_symbol
_atom_site_fract_x
_atom_site_fract_y
_atom_site_fract_z
Na1 Na 0.0396 0.5396 0.2500
Na2 Na 0.2500 0.2500 0.1472
Co1 Co 0.2500 0.7500 0.7500
O1 O 0.0070 0.7500 0.5792
# Total magnetization   0.273 μB per atom

Arrangement y

# Na6CoO4 | Alexandria | SCAN | PBEsol geometry
data_Na6CoO4
_space_group_name_H-M_alt 'I -4 3 m'
_space_group_IT_number 217
_space_group_name_Hall 'I -4 2 3'
_cell_length_a 10.6308
_cell_length_b 10.6308
_cell_length_c 10.6308
_cell_angle_alpha 90.00
_cell_angle_beta 90.00
_cell_angle_gamma 90.00
loop_
_atom_site_label
_atom_site_type_symbol
_atom_site_fract_x
_atom_site_fract_y
_atom_site_fract_z
Na1 Na 0.0968 0.3618 0.6382
Na2 Na 0.1026 0.1026 0.6805
Co1 Co 0.1252 0.1252 0.1252
O1 O 0.0000 0.0000 0.0000
O2 O 0.0000 0.0000 0.5000
O3 O 0.0360 0.2414 0.2414
# Total magnetization   0.273 μB per atom

Stability check: which of them is most stable? arrangement w.